No. 1
Here is crystalline Ho2AgRuC at its relaxed geometry from Alexandria via LeMat-Bulk. Energies are from PBE-GGA.

Cell lengths 3.889, 4.972, 4.972 Å; angles 90.00, 90.00, 90.00 degrees
Positions (direct):
1 Ho 0.000 0.000 0.500
2 Ho 0.000 0.500 0.000
3 Ag 0.500 0.500 0.500
4 Ru 0.500 0.000 0.000
5 C 0.000 0.000 0.000

Summary:
**ρ**: 9.5 Mg/m³
**DFT total energy**: -6.494 eV per atom
**Fermi-level density of states**: 2.5 states/eV/f.u.
**Calculated formation energy**: -0.392 eV per atom



No. 2
Here is crystalline HoSc2AgC at its relaxed geometry from Alexandria via LeMat-Bulk. Energies are from PBE-GGA.

Cell lengths 4.481, 4.481, 4.997 Å; angles 90.00, 90.00, 90.00 degrees
Positions (direct):
1 Ho 0.000 0.000 0.500
2 Sc 0.000 0.500 0.000
3 Sc 0.500 0.000 0.000
4 Ag 0.500 0.500 0.499
5 C 0.000 0.000 0.000

Summary:
**ρ**: 6.2 Mg/m³
**DFT total energy**: -6.214 eV per atom
**Fermi-level density of states**: 3.2 states/eV/f.u.
**Calculated formation energy**: -0.351 eV per atom



No. 3
Here is crystalline TbHo2AgC at its relaxed geometry from Alexandria via LeMat-Bulk. Energies are from PBE-GGA.

Cell lengths 4.819, 4.819, 5.030 Å; angles 90.00, 90.00, 90.00 degrees
Positions (direct):
1 Tb 0.000 0.000 0.491
2 Ho 0.000 0.500 0.994
3 Ho 0.500 0.000 0.994
4 Ag 0.500 0.500 0.507
5 C 0.000 0.000 0.014

Summary:
**ρ**: 8.7 Mg/m³
**DFT total energy**: -5.381 eV per atom
**Fermi-level density of states**: 5.8 states/eV/f.u.
**Calculated formation energy**: -0.209 eV per atom



No. 4
Here is crystalline Ho2ThAgC at its relaxed geometry from Alexandria via LeMat-Bulk. Energies are from PBE-GGA.

Cell lengths 4.861, 4.861, 5.072 Å; angles 90.00, 90.00, 90.00 degrees
Positions (direct):
1 Ho 0.000 0.500 0.000
2 Ho 0.500 0.000 0.000
3 Th 0.000 0.000 0.500
4 Ag 0.500 0.500 0.501
5 C 0.000 0.000 0.000

Summary:
**ρ**: 9.4 Mg/m³
**DFT total energy**: -5.908 eV per atom
**Fermi-level density of states**: 5.2 states/eV/f.u.
**Calculated formation energy**: -0.178 eV per atom



What is the DFT total energy in the first record?
-6.494 eV per atom



Which value of calculated formation energy does entry 2 give?
-0.351 eV per atom



What is the formula in the fourth record?
Ho2ThAgC